Record 1
KNaAlF6 | PBE | relaxed

Crystal system   trigonal

Lattice parameters (Å, degrees): 5.6676 5.6673 5.3442 90.00 89.99 59.98
Last column: nearest neighbours and their distance in Å.
Atoms (fractional coordinates):
K  0.0000  0.0000  0.9999  6 F 2.69
Na  0.6666  0.6666  0.4998  6 F 2.33
Al  0.3333  0.3334  0.5001  6 F 1.82
F  0.0654  0.3398  0.3068  1 Al 1.82
F  0.3401  0.0653  0.6932  1 Al 1.82
F  0.5945  0.3403  0.6933  1 Al 1.82
F  0.0649  0.5949  0.6930  1 Al 1.82
F  0.3400  0.5947  0.3068  1 Al 1.82
F  0.5950  0.0651  0.3070  1 Al 1.82


Record 2
KNaAl2F8 | PBE | relaxed

Crystal system   trigonal

Lattice parameters (Å, degrees): 5.3942 5.3942 8.0793 70.50 70.50 60.00
Last column: nearest neighbours and their distance in Å.
Atoms (fractional coordinates):
K  0.5000  0.5000  0.5000  12 F 3.04-3.12
Na  0.0000  0.0000  0.0000  6 F 2.33
Al  0.2530  0.2530  0.2410  4 F 1.70-1.71
Al  0.7470  0.7470  0.7590  4 F 1.70-1.71
F  0.1766  0.1766  0.4701  1 Al 1.71
F  0.5718  0.2829  0.1771  1 Al 1.70
F  0.8234  0.8234  0.5299  1 Al 1.71
F  0.9682  0.5718  0.1771  1 Al 1.70
F  0.0318  0.4282  0.8229  1 Al 1.70
F  0.2829  0.9682  0.1771  1 Al 1.70
F  0.7171  0.0318  0.8229  1 Al 1.70
F  0.4282  0.7171  0.8229  1 Al 1.70


Record 3
K2NaAlF | PBE | relaxed

Crystal system   tetragonal

Lattice parameters (Å, degrees): 6.8016 4.0109 6.8016 90.00 90.00 90.00
Last column: nearest neighbours and their distance in Å.
Atoms (fractional coordinates):
Na  0.0000  0.0000  0.0000  2 F 2.01
K  0.0000  0.0000  0.5000  2 Na 3.40
K  0.5000  0.0000  0.0000  2 Na 3.40
Al  0.5000  0.5000  0.5000  8 K 3.95, 2 Al 4.01
F  0.0000  0.5000  0.0000  2 Na 2.01


no.,formation energy (no corrections) (meV/atom)
1,-2835
2,-3267
3,-571